Here is AuSeN3 after structural relaxation from Alexandria via LeMat-Bulk. Energies are from GGA-PBEsol.

Lattice parameters (Å, degrees): 3.822 3.822 3.822 90.00 90.00 90.00
Positions (direct):
Au  0.000  0.000  0.000
Se  0.500  0.500  0.500
N  0.000  0.500  0.500
N  0.500  0.000  0.500
N  0.500  0.500  0.000

Calculated values
N(E_F): 2.990 states/eV/f.u.
Space group: Pm-3m (221)
E_tot: -4.561 eV per atom
Energy relative to the elements, uncorrected: 2.110 eV per atom
ρ: 9.5 g/cm³

=====

Here is AuSe2N2 after structural relaxation from Alexandria via LeMat-Bulk. Energies are from GGA-PBEsol.

Lattice parameters (Å, degrees): 3.665 3.665 6.026 90.00 90.00 90.00
Positions (direct):
Au  0.000  0.000  0.000
Se  0.500  0.500  0.000
Se  0.500  0.500  0.500
N  0.000  0.500  0.500
N  0.500  0.000  0.500

Calculated values
N(E_F): 3.073 states/eV/f.u.
Space group: P4/mmm (123)
E_tot: -4.321 eV per atom
Energy relative to the elements, uncorrected: 1.414 eV per atom
ρ: 7.9 g/cm³

=====

Here is AuSe3N after structural relaxation from Alexandria via LeMat-Bulk. Energies are from GGA-PBEsol.

Lattice parameters (Å, degrees): 5.041 5.041 5.041 90.00 90.00 90.00
Positions (direct):
Au  0.000  0.000  0.000
Se  0.000  0.000  0.500
Se  0.000  0.500  0.000
Se  0.500  0.000  0.000
N  0.500  0.500  0.500

Calculated values
N(E_F): 5.497 states/eV/f.u.
Space group: Pm-3m (221)
E_tot: -3.110 eV per atom
Energy relative to the elements, uncorrected: 1.690 eV per atom
ρ: 5.8 g/cm³

=====

Here is SiAuSe2N after structural relaxation from Alexandria via LeMat-Bulk. Energies are from GGA-PBEsol.

Lattice parameters (Å, degrees): 5.180 5.180 3.713 90.00 90.00 90.00
Positions (direct):
Si  0.000  0.000  0.000
Au  0.500  0.500  0.500
Se  0.000  0.500  0.500
Se  0.500  0.000  0.500
N  0.500  0.500  0.000

Calculated values
N(E_F): 4.078 states/eV/f.u.
Space group: P4/mmm (123)
E_tot: -4.109 eV per atom
Energy relative to the elements, uncorrected: 1.071 eV per atom
ρ: 6.6 g/cm³

=====

Here is TiAuSeN2 after structural relaxation from Alexandria via LeMat-Bulk. Energies are from GGA-PBEsol.

Lattice parameters (Å, degrees): 3.792 3.792 5.581 90.00 90.00 90.00
Positions (direct):
Ti  0.000  0.000  0.000
Au  0.500  0.500  0.500
Se  0.000  0.000  0.500
N  0.000  0.500  0.000
N  0.500  0.000  0.000

Calculated values
N(E_F): 3.666 states/eV/f.u.
Space group: P4/mmm (123)
E_tot: -6.251 eV per atom
Energy relative to the elements, uncorrected: 0.379 eV per atom
ρ: 7.3 g/cm³

=====

Here is TlAuSe2N after structural relaxation from Alexandria via LeMat-Bulk. Energies are from GGA-PBEsol.

Lattice parameters (Å, degrees): 5.373 5.373 4.116 90.00 90.00 90.00
Positions (direct):
Tl  0.000  0.000  0.000
Au  0.500  0.500  0.500
Se  0.000  0.500  0.000
Se  0.500  0.000  0.000
N  0.000  0.000  0.500

Calculated values
N(E_F): 4.505 states/eV/f.u.
Space group: P4/mmm (123)
E_tot: -3.086 eV per atom
Energy relative to the elements, uncorrected: 1.471 eV per atom
ρ: 8.0 g/cm³

=====

Here is SiAuN3 after structural relaxation from Alexandria via LeMat-Bulk. Energies are from GGA-PBEsol.

Lattice parameters (Å, degrees): 4.010 4.010 4.010 90.00 90.00 90.00
Positions (direct):
Si  0.000  0.000  0.000
Au  0.500  0.500  0.500
N  0.000  0.500  0.500
N  0.500  0.000  0.500
N  0.500  0.500  0.000

Calculated values
N(E_F): 3.802 states/eV/f.u.
Space group: Pm-3m (221)
E_tot: -4.749 eV per atom
Energy relative to the elements, uncorrected: 2.301 eV per atom
ρ: 6.9 g/cm³

=====

Here is SiTeAuN2 after structural relaxation from Alexandria via LeMat-Bulk. Energies are from GGA-PBEsol.

Lattice parameters (Å, degrees): 3.899 3.899 6.972 90.00 90.00 90.00
Positions (direct):
Si  0.000  0.000  0.000
Te  0.500  0.500  0.000
Au  0.500  0.500  0.500
N  0.000  0.500  0.500
N  0.500  0.000  0.500

Calculated values
N(E_F): 2.441 states/eV/f.u.
Space group: P4/mmm (123)
E_tot: -4.342 eV per atom
Energy relative to the elements, uncorrected: 1.708 eV per atom
ρ: 6.0 g/cm³

=====

Here is Sn2WAuN after structural relaxation from Alexandria via LeMat-Bulk. Energies are from GGA-PBEsol.

Lattice parameters (Å, degrees): 5.230 5.230 4.940 90.00 90.00 90.00
Positions (direct):
Sn  0.000  0.500  0.000
Sn  0.500  0.000  0.000
W  0.000  0.000  0.000
Au  0.000  0.000  0.500
N  0.500  0.500  0.500

Calculated values
N(E_F): 2.475 states/eV/f.u.
Space group: P4/mmm (123)
E_tot: -5.236 eV per atom
Energy relative to the elements, uncorrected: 1.719 eV per atom
ρ: 7.8 g/cm³

=====

Here is TcAuN2 after structural relaxation from Alexandria via LeMat-Bulk. Energies are from GGA-PBEsol.

Lattice parameters (Å, degrees): 6.707 6.707 6.707 24.49 24.49 24.49
Positions (direct):
Tc  0.000  0.000  0.000
Au  0.500  0.500  0.500
N  0.396  0.396  0.396
N  0.604  0.604  0.604

Calculated values
N(E_F): 2.044 states/eV/f.u.
Space group: R-3m (166)
E_tot: -7.921 eV per atom
Energy relative to the elements, uncorrected: 0.140 eV per atom
ρ: 11.8 g/cm³
Energy relative to the lowest polymorph listed for this composition: 0.000 eV/atom

=====

Here is TcAuN2 after structural relaxation from Alexandria via LeMat-Bulk. Energies are from GGA-PBEsol.

Lattice parameters (Å, degrees): 5.654 5.654 5.654 129.12 129.12 74.82
Positions (direct):
Tc  0.000  0.000  0.000
Tc  0.750  0.250  0.500
Au  0.250  0.750  0.500
Au  0.500  0.500  0.000
N  0.059  0.625  0.934
N  0.375  0.309  0.434
N  0.691  0.125  0.066
N  0.875  0.941  0.566

Calculated values
N(E_F): 1.646 states/eV/f.u.
Space group: I-42d (122)
E_tot: -7.642 eV per atom
Energy relative to the elements, uncorrected: 0.419 eV per atom
ρ: 10.1 g/cm³
Energy relative to the lowest polymorph listed for this composition: 0.279 eV/atom

=====

Here is TeAu3N after structural relaxation from Alexandria via LeMat-Bulk. Energies are from GGA-PBEsol.

Lattice parameters (Å, degrees): 5.195 5.195 5.195 90.00 90.00 90.00
Positions (direct):
Te  0.000  0.000  0.000
Au  0.000  0.000  0.500
Au  0.000  0.500  0.000
Au  0.500  0.000  0.000
N  0.500  0.500  0.500

Calculated values
N(E_F): 3.372 states/eV/f.u.
Space group: Pm-3m (221)
E_tot: -3.170 eV per atom
Energy relative to the elements, uncorrected: 1.595 eV per atom
ρ: 8.7 g/cm³

=====

Here is Te2AuN after structural relaxation from Alexandria via LeMat-Bulk. Energies are from GGA-PBEsol.

Lattice parameters (Å, degrees): 7.079 7.079 7.079 35.45 35.45 35.45
Positions (direct):
Te  0.097  0.097  0.097
Te  0.903  0.903  0.903
Au  0.500  0.500  0.500
N  0.000  0.000  0.000

Calculated values
N(E_F): 1.384 states/eV/f.u.
Space group: R-3m (166)
E_tot: -4.278 eV per atom
Energy relative to the elements, uncorrected: 0.598 eV per atom
ρ: 7.3 g/cm³

=====

Here is TeWAuN2 after structural relaxation from Alexandria via LeMat-Bulk. Energies are from GGA-PBEsol.

Lattice parameters (Å, degrees): 3.884 3.884 7.349 90.00 90.00 90.00
Positions (direct):
Te  0.000  0.000  0.000
W  0.500  0.500  0.000
Au  0.000  0.000  0.500
N  0.000  0.500  0.500
N  0.500  0.000  0.500

Calculated values
N(E_F): 3.526 states/eV/f.u.
Space group: P4/mmm (123)
E_tot: -5.362 eV per atom
Energy relative to the elements, uncorrected: 2.300 eV per atom
ρ: 8.0 g/cm³

=====

Here is ZrTe2AuN after structural relaxation from Alexandria via LeMat-Bulk. Energies are from GGA-PBEsol.

Lattice parameters (Å, degrees): 5.646 5.646 3.877 90.00 90.00 90.00
Positions (direct):
Zr  0.000  0.000  0.000
Te  0.000  0.500  0.000
Te  0.500  0.000  0.000
Au  0.500  0.500  0.500
N  0.000  0.000  0.500

Calculated values
N(E_F): 4.296 states/eV/f.u.
Space group: P4/mmm (123)
E_tot: -5.451 eV per atom
Energy relative to the elements, uncorrected: 0.268 eV per atom
ρ: 7.5 g/cm³

=====

Here is ZrTeAuN2 after structural relaxation from Alexandria via LeMat-Bulk. Energies are from GGA-PBEsol.

Lattice parameters (Å, degrees): 4.042 4.042 6.192 90.00 90.00 90.00
Positions (direct):
Zr  0.000  0.000  0.000
Te  0.000  0.000  0.500
Au  0.500  0.500  0.500
N  0.000  0.500  0.000
N  0.500  0.000  0.000

Calculated values
N(E_F): 3.406 states/eV/f.u.
Space group: P4/mmm (123)
E_tot: -6.291 eV per atom
Energy relative to the elements, uncorrected: 0.427 eV per atom
ρ: 7.3 g/cm³

=====

Here is TiAuN2 after structural relaxation from Alexandria via LeMat-Bulk. Energies are from GGA-PBEsol.

Lattice parameters (Å, degrees): 6.275 6.275 6.275 29.54 29.54 29.54
Positions (direct):
Ti  0.000  0.000  0.000
Au  0.500  0.500  0.500
N  0.109  0.109  0.109
N  0.891  0.891  0.891

Calculated values
N(E_F): 3.235 states/eV/f.u.
Space group: R-3m (166)
E_tot: -6.561 eV per atom
Energy relative to the elements, uncorrected: 0.764 eV per atom
ρ: 8.5 g/cm³

=====

Here is Ti2Au2N after structural relaxation from Alexandria via LeMat-Bulk. Energies are from GGA-PBEsol.

Lattice parameters (Å, degrees): 7.175 7.175 7.175 151.87 151.87 40.20
Positions (direct):
Ti  0.250  0.750  0.500
Ti  0.750  0.250  0.500
Au  0.099  0.099  0.000
Au  0.901  0.901  0.000
N  0.500  0.500  0.000

Calculated values
N(E_F): 3.909 states/eV/f.u.
Space group: I4/mmm (139)
E_tot: -5.613 eV per atom
Energy relative to the elements, uncorrected: 0.991 eV per atom
ρ: 10.2 g/cm³

=====

Here is Tl3AuN after structural relaxation from Alexandria via LeMat-Bulk. Energies are from GGA-PBEsol.

Lattice parameters (Å, degrees): 5.409 5.409 5.409 90.00 90.00 90.00
Positions (direct):
Tl  0.000  0.000  0.500
Tl  0.000  0.500  0.000
Tl  0.500  0.000  0.000
Au  0.000  0.000  0.000
N  0.500  0.500  0.500

Calculated values
N(E_F): 2.690 states/eV/f.u.
Space group: Pm-3m (221)
E_tot: -2.925 eV per atom
Energy relative to the elements, uncorrected: 1.143 eV per atom
ρ: 8.6 g/cm³

=====

Here is V3AuN after structural relaxation from Alexandria via LeMat-Bulk. Energies are from GGA-PBEsol.

Lattice parameters (Å, degrees): 3.923 3.923 3.923 90.00 90.00 90.00
Positions (direct):
V  0.000  0.000  0.500
V  0.000  0.500  0.000
V  0.500  0.000  0.000
Au  0.500  0.500  0.500
N  0.000  0.000  0.000

Calculated values
N(E_F): 5.168 states/eV/f.u.
Space group: Pm-3m (221)
E_tot: -8.980 eV per atom
Energy relative to the elements, uncorrected: -0.709 eV per atom
ρ: 10.0 g/cm³